Below is an optimized crystal structure of Rb6Tm3Br14, with properties calculated at the PBE level.

Lattice parameters (Å, degrees): 7.5662 12.3664 12.3664 120.00 90.00 90.00
Last column: nearest neighbours and their distance in Å.
Fractional positions:
Br1 0.6549 0.8045 0.5437  1 Tm 2.79
Br2 0.9788 0.0673 0.2125  1 Tm 2.72
Rb1 0.2556 0.7966 0.0899  7 Br 3.50-3.78
Br3 0.2373 0.8806 0.4092  1 Tm 2.80
Br4 0.2373 0.5908 0.4714  1 Tm 2.80
Br5 0.9788 0.1452 0.9327  1 Tm 2.72
Br6 0.9788 0.7875 0.8548  1 Tm 2.72
Rb2 0.7962 0.5498 0.5634  5 Br 3.45-3.71
Tm1 0.3649 0.3333 0.6667  4 Br 2.63-2.65
Br7 0.6549 0.4563 0.2608  1 Tm 2.79
Rb3 0.2556 0.2932 0.2034  7 Br 3.50-3.78
Br8 0.4462 0.0000 0.0000  1 Tm 2.62
Br9 0.2373 0.5286 0.1194  1 Tm 2.80
Br10 0.5042 0.5554 0.8066  1 Tm 2.63
Rb4 0.2556 0.9101 0.7068  7 Br 3.50-3.78
Br11 0.5042 0.2513 0.4446  1 Tm 2.63
Rb5 0.7962 0.4366 0.9865  5 Br 3.45-3.71
Br12 0.6549 0.7392 0.1955  1 Tm 2.79
Tm2 0.4436 0.6667 0.3333  6 Br 2.79-2.80
Tm3 0.7927 0.0000 0.0000  4 Br 2.62-2.72
Br13 0.0143 0.3333 0.6667  1 Tm 2.65
Rb6 0.7962 0.0135 0.4502  5 Br 3.45-3.71
Br14 0.5042 0.1934 0.7487  1 Tm 2.63

Volume in A^3/atom: 43.57
E_form (uncorrected) in eV per atom: -1.721
DOS at the Fermi energy in states/eV/atom: 0.207
Magnetization in μB/cell: 0.1

---

Below is an optimized crystal structure of RbTmVBr6, with properties calculated at the PBE level.

Lattice parameters (Å, degrees): 6.9961 6.9961 15.7426 90.00 90.00 120.00
Last column: nearest neighbours and their distance in Å.
Fractional positions:
Br1 0.0131 0.6400 0.3490  1 V 2.66, 1 Tm 2.78
Br2 0.6400 0.0131 0.8490  1 V 2.66, 1 Tm 2.78
V1 0.3333 0.6667 0.2500  6 Br 2.66
Tm1 0.6667 0.3333 0.2500  6 Br 2.78
Br3 0.6269 0.6400 0.1510  1 V 2.66, 1 Tm 2.78
Br4 0.3600 0.3731 0.3490  1 V 2.66, 1 Tm 2.78
Br5 0.9869 0.3600 0.6510  1 V 2.66, 1 Tm 2.78
Br6 0.6400 0.6269 0.6510  1 V 2.66, 1 Tm 2.78
Rb1 0.0000 0.0000 0.5000  6 Br 3.50
Rb2 0.0000 0.0000 0.0000  6 Br 3.50
Br7 0.3731 0.3600 0.8490  1 V 2.66, 1 Tm 2.78
Br8 0.3600 0.9869 0.1510  1 V 2.66, 1 Tm 2.78
Br9 0.6269 0.9869 0.3490  1 V 2.66, 1 Tm 2.78
Br10 0.9869 0.6269 0.8490  1 V 2.66, 1 Tm 2.78
Br11 0.3731 0.0131 0.6510  1 V 2.66, 1 Tm 2.78
Br12 0.0131 0.3731 0.1510  1 V 2.66, 1 Tm 2.78
Tm2 0.3333 0.6667 0.7500  6 Br 2.78
V2 0.6667 0.3333 0.7500  6 Br 2.66

Volume in A^3/atom: 37.07
E_form (uncorrected) in eV per atom: -1.500
Magnetization in μB/cell: 6.0

---

Below is an optimized crystal structure of Rb2UBr5, with properties calculated at the PBE level.

Lattice parameters (Å, degrees): 8.8368 9.4313 14.0879 90.00 90.00 90.00
Last column: nearest neighbours and their distance in Å.
Fractional positions:
Br1 0.6620 0.0423 0.5737  2 U 3.02-3.05
U1 0.5676 0.7500 0.5025  7 Br 2.95-3.05
Br2 0.3798 0.7500 0.6758  1 U 2.95
Br3 0.4090 0.2500 0.9901  1 U 3.02
Br4 0.8380 0.0423 0.0737  2 U 3.02-3.05
Rb1 0.0567 0.5042 0.6708  8 Br 3.50-3.77
Br5 0.9090 0.7500 0.5099  1 U 3.02
Br6 0.6620 0.4577 0.5737  2 U 3.02-3.05
U2 0.4324 0.2500 0.4975  7 Br 2.95-3.05
Br7 0.1620 0.9577 0.9263  2 U 3.02-3.05
Br8 0.1555 0.2500 0.1993  1 U 2.95
U3 0.9324 0.7500 0.0025  7 Br 2.95-3.05
Rb2 0.5567 0.0042 0.8292  8 Br 3.50-3.77
Br9 0.1620 0.5423 0.9263  2 U 3.02-3.05
Br10 0.5910 0.7500 0.0099  1 U 3.02
Br11 0.3380 0.5423 0.4263  2 U 3.02-3.05
Br12 0.8445 0.7500 0.8007  1 U 2.95
Br13 0.8380 0.4577 0.0737  2 U 3.02-3.05
Rb3 0.5567 0.4958 0.8292  8 Br 3.50-3.77
U4 0.0676 0.2500 0.9975  7 Br 2.95-3.05
Rb4 0.0567 0.9958 0.6708  8 Br 3.50-3.77
Br14 0.0910 0.2500 0.4901  1 U 3.02
Br15 0.3380 0.9577 0.4263  2 U 3.02-3.05
Br16 0.6555 0.7500 0.3007  1 U 2.95
Br17 0.8798 0.2500 0.8242  1 U 2.95
Rb5 0.9433 0.4958 0.3292  8 Br 3.50-3.77
Br18 0.1202 0.7500 0.1758  1 U 2.95
Br19 0.6202 0.2500 0.3242  1 U 2.95
Rb6 0.4433 0.5042 0.1708  8 Br 3.50-3.77
Rb7 0.4433 0.9958 0.1708  8 Br 3.50-3.77
Br20 0.3445 0.2500 0.6993  1 U 2.95
Rb8 0.9433 0.0042 0.3292  8 Br 3.50-3.77

Volume in A^3/atom: 36.69
E_form (uncorrected) in eV per atom: -1.551
DOS at the Fermi energy in states/eV/atom: 0.207
Magnetization in μB/cell: 12.0

---

Below is an optimized crystal structure of Rb5U2Br12, with properties calculated at the PBE level.

Lattice parameters (Å, degrees): 8.8219 10.6044 10.9818 110.21 90.00 114.58
Last column: nearest neighbours and their distance in Å.
Fractional positions:
Br1 0.9788 0.9575 0.8171  2 U 2.91
U1 0.2504 0.0000 0.0000  6 Br 2.77-2.93
Br2 0.1051 0.6948 0.9424  1 U 2.77
Br3 0.1102 0.7167 0.4487  4 Rb 3.29-3.43
Br4 0.8949 0.3052 0.0576  1 U 2.77
Rb1 0.6769 0.3539 0.7907  2 Br 3.29
U2 0.7496 0.0000 0.0000  6 Br 2.77-2.93
Br5 0.4838 0.9676 0.8151  2 U 2.93
Br6 0.5896 0.6948 0.9424  1 U 2.77
Br7 0.3934 0.2833 0.5513  4 Rb 3.29-3.43
Br8 0.5162 0.0324 0.1849  2 U 2.93
Rb2 0.3231 0.6461 0.2093  2 Br 3.29
Rb3 0.2801 0.5601 0.6011  5 Br 3.35-3.73
Br9 0.4104 0.3052 0.0576  1 U 2.77
Br10 0.0213 0.0425 0.1829  2 U 2.91
Rb4 0.0000 0.0000 0.5000  6 Br 3.40-3.66
Br11 0.6066 0.7167 0.4487  4 Rb 3.29-3.43
Rb5 0.7199 0.4399 0.3989  5 Br 3.35-3.73
Br12 0.8898 0.2833 0.5513  4 Rb 3.29-3.43

Volume in A^3/atom: 45.48
E_form (uncorrected) in eV per atom: -1.499
DOS at the Fermi energy in states/eV/atom: 0.887
Magnetization in μB/cell: 5.0

---

Below is an optimized crystal structure of Rb5UBr8, with properties calculated at the PBE level.

Lattice parameters (Å, degrees): 8.7672 8.7672 8.7672 109.64 109.14 109.64
Last column: nearest neighbours and their distance in Å.
Fractional positions:
Br1 0.2562 0.2852 0.4033  1 U 3.02
Br2 0.8178 0.2697 0.4175  1 U 3.25, 4 Rb 3.41-3.64, 2 Br 3.56-3.59
Br3 0.5967 0.8528 0.8819  1 U 3.02
Rb1 0.5000 0.0000 0.5000  4 Br 3.45
Br4 0.1478 0.7303 0.5481  1 U 3.25, 4 Rb 3.41-3.64, 2 Br 3.56-3.59
Rb2 0.3949 0.1336 0.0194  7 Br 3.39-3.66
Br5 0.1181 0.7148 0.9710  1 U 3.02
Rb3 0.7387 0.6245 0.6051  7 Br 3.39-3.66
Rb4 0.9806 0.3755 0.1142  7 Br 3.39-3.66
Br6 0.0290 0.1472 0.7438  1 U 3.02
Br7 0.5825 0.4003 0.8522  1 U 3.25, 4 Rb 3.41-3.64, 2 Br 3.56-3.59
Rb5 0.8858 0.8664 0.2613  7 Br 3.39-3.66
Br8 0.4519 0.5997 0.1822  1 U 3.25, 4 Rb 3.41-3.64, 2 Br 3.56-3.59
U1 0.2500 0.5000 0.7500  8 Br 3.02-3.25

Volume in A^3/atom: 37.05
E_form (uncorrected) in eV per atom: -1.586
DOS at the Fermi energy in states/eV/atom: 0.590
Magnetization in μB/cell: 3.0

---

Below is an optimized crystal structure of RbUBr5, with properties calculated at the PBE level.

Lattice parameters (Å, degrees): 8.0631 8.0631 11.4192 70.32 70.32 68.67
Last column: nearest neighbours and their distance in Å.
Fractional positions:
Rb1 0.4612 0.5388 0.7500  7 Br 3.52-3.69
Br1 0.8869 0.6910 0.1129  1 U 2.72
Br2 0.7884 0.3589 0.4953  1 U 2.77
Br3 0.6910 0.8869 0.6129  1 U 2.72
Br4 0.2116 0.6411 0.5047  1 U 2.77
Br5 0.3090 0.1131 0.3871  1 U 2.72
Br6 0.1131 0.3090 0.8871  1 U 2.72
U1 0.0000 0.0000 0.0000  6 Br 2.72-2.90
Br7 0.0570 0.9430 0.7500  2 U 2.90
U2 0.0000 0.0000 0.5000  6 Br 2.72-2.90
Br8 0.9430 0.0570 0.2500  2 U 2.90
Br9 0.6411 0.2116 0.0047  1 U 2.77
Br10 0.3589 0.7884 0.9953  1 U 2.77
Rb2 0.5388 0.4612 0.2500  7 Br 3.52-3.69

Volume in A^3/atom: 45.10
E_form (uncorrected) in eV per atom: -1.446
DOS at the Fermi energy in states/eV/atom: 0.290
Magnetization in μB/cell: 4.0

---

Below is an optimized crystal structure of RbUBr4, with properties calculated at the PBE level.

Lattice parameters (Å, degrees): 6.7554 8.6761 8.6761 117.02 98.01 98.01
Last column: nearest neighbours and their distance in Å.
Fractional positions:
Rb1 0.2500 0.3626 0.6374  8 Br 3.52-3.70
Br1 0.0949 0.3302 0.2039  2 U 3.03
Br2 0.5379 0.2582 0.9458  2 U 3.00
Rb2 0.7500 0.6374 0.3626  8 Br 3.52-3.70
Br3 0.9621 0.0542 0.7418  2 U 3.00
Br4 0.4051 0.7961 0.6698  2 U 3.03
U1 0.2500 0.0006 0.9994  8 Br 3.00-3.03
U2 0.7500 0.9994 0.0006  8 Br 3.00-3.03
Br5 0.0379 0.9458 0.2582  2 U 3.00
Br6 0.4621 0.7418 0.0542  2 U 3.00
Br7 0.9051 0.6698 0.7961  2 U 3.03
Br8 0.5949 0.2039 0.3302  2 U 3.03

Volume in A^3/atom: 36.38
E_form (uncorrected) in eV per atom: -1.458
DOS at the Fermi energy in states/eV/atom: 0.612
Magnetization in μB/cell: 6.0

---

Below is an optimized crystal structure of RbUBr4, with properties calculated at the PBE level.

Lattice parameters (Å, degrees): 7.3900 8.5424 9.5938 112.49 108.23 99.36
Last column: nearest neighbours and their distance in Å.
Fractional positions:
Br1 0.1818 0.3594 0.4089  1 U 2.82
Rb1 0.3969 0.6469 0.2937  6 Br 3.42-3.67
Br2 0.4706 0.7444 0.9234  2 U 2.95-3.02
Rb2 0.6031 0.3531 0.7063  6 Br 3.42-3.67
Br3 0.5294 0.2556 0.0766  2 U 2.95-3.02
Br4 0.0472 0.8209 0.0766  2 U 2.95-3.02
Br5 0.2728 0.9504 0.5911  1 U 2.82
Br6 0.8182 0.6406 0.5911  1 U 2.82
U1 0.1709 0.9209 0.8419  6 Br 2.82-3.02
Br7 0.9528 0.1791 0.9234  2 U 2.95-3.02
Br8 0.7272 0.0496 0.4089  1 U 2.82
U2 0.8291 0.0791 0.1581  6 Br 2.82-3.02

Volume in A^3/atom: 41.94
E_form (uncorrected) in eV per atom: -1.439
DOS at the Fermi energy in states/eV/atom: 0.230
Magnetization in μB/cell: 6.0

---

Below is an optimized crystal structure of Rb3UBr8, with properties calculated at the PBE level.

Lattice parameters (Å, degrees): 7.7695 7.7695 7.7695 90.00 90.00 90.00
Last column: nearest neighbours and their distance in Å.
Fractional positions:
Br1 0.2167 0.2167 0.2167  1 U 2.92
Br2 0.2167 0.7833 0.7833  1 U 2.92
Br3 0.7833 0.2167 0.2167  1 U 2.92
U1 0.0000 0.0000 0.0000  8 Br 2.92
Br4 0.7833 0.7833 0.7833  1 U 2.92
Rb1 0.0000 0.5000 0.5000  8 Br 3.54
Br5 0.2167 0.7833 0.2167  1 U 2.92
Br6 0.7833 0.7833 0.2167  1 U 2.92
Br7 0.7833 0.2167 0.7833  1 U 2.92
Rb2 0.5000 0.0000 0.5000  8 Br 3.54
Br8 0.2167 0.2167 0.7833  1 U 2.92
Rb3 0.5000 0.5000 0.0000  8 Br 3.54

Volume in A^3/atom: 39.08
E_form (uncorrected) in eV per atom: -1.387
DOS at the Fermi energy in states/eV/atom: 0.748
Magnetization in μB/cell: 0.9

---

Number 1: VASP energy -3.575 eV per atom. Number 2: VASP energy -4.232 eV per atom. Number 3: VASP energy -4.249 eV per atom. Number 4: VASP energy -3.998 eV per atom. Number 5: VASP energy -3.694 eV per atom. Number 6: VASP energy -4.391 eV per atom. Number 7: VASP energy -4.616 eV per atom. Number 8: VASP energy -4.597 eV per atom. Number 9: VASP energy -3.685 eV per atom.